Here is a geometry-optimized AlBiRh structure from Alexandria. Energies are from GGA-PBE.

Geometry as POSCAR:
```
AlBiRh
1.0
8.9115 0.0000 0.0795
0.0000 3.3855 0.0000
-0.0481 0.0000 8.4630
Rh Bi Al
4 4 4
Direct
0.6505 0.0000 0.5731
0.3495 0.0000 0.4269
0.6505 0.5000 0.0731
0.3495 0.5000 0.9269
0.1694 0.0000 0.7288
0.8306 0.0000 0.2712
0.1694 0.5000 0.2288
0.8306 0.5000 0.7712
0.5583 0.0000 0.8603
0.4417 0.0000 0.1397
0.5583 0.5000 0.3603
0.4417 0.5000 0.6397
```

M_tot: 0.00 μB/f.u.
VASP energy: -65.514 eV per cell